No. 1
Crystalline ScP2Cl at its relaxed geometry. Source: the Alexandria database, functional PBE.

Structure (POSCAR):
```
ScP2Cl
1.0
2.418 -4.108 0.000
2.418 4.108 0.000
-1.220 0.000 3.897
Sc P Cl
1 2 1
Cartesian
0.000 0.000 0.000 Sc
0.599 2.054 1.949 P
0.599 -2.054 1.949 P
2.418 0.000 0.000 Cl
```

Values from the calculation:
crystal system: monoclinic
energy: -5.0565 eV per atom
space group: C2/m (12)
formation energy from raw total energies: -307 meV per atom
DOS(E_F): 2.63 states/eV/cell
ΔE to the lowest computed polymorph: 0.623 eV per atom


No. 2
Crystalline Pm3Cu2Ru at its relaxed geometry. Source: the Alexandria database, functional PBE.

Structure (POSCAR):
```
Pm3Cu2Ru
1.0
3.517 0.000 0.000
0.000 3.517 0.000
0.000 0.000 10.823
Pm Cu Ru
3 2 1
Cartesian
0.000 0.000 0.000 Pm
0.000 0.000 3.687 Pm
0.000 0.000 7.136 Pm
1.759 1.759 1.785 Cu
1.759 1.759 9.039 Cu
1.759 1.759 5.412 Ru
```

Values from the calculation:
crystal system: tetragonal
energy: -5.4759 eV per atom
space group: P4/mmm (123)
DOS(E_F): 3.92 states/eV/cell
ΔE to the lowest computed polymorph: 0.000 eV per atom


Which of these has the highest energy? ScP2Cl